## TmNpNi2O6 (PBE+U)

Data for TmNpNi2O6 after structural relaxation.

Computed properties:
Symmetry: P4mm, No. 99
ρ (g/cm³): 6.71
Electronic total energy (eV/atom): -7.152
DOS(E_F) (states/eV per cell): 5.48
Magnetic moment (μB/cell): 1.68

Unit cell a=4.1510 b=6.0741 c=6.0741 alpha=90.00 beta=90.00 gamma=90.00
Site moments in Bohr magnetons follow the coordinates.
Fractional coordinates of all 10 atoms:
1 Ni 0.7493 0.0000 0.5000  1.10
2 O 0.2401 0.5000 0.5000  0.01
3 O 0.7451 0.2377 0.2377  0.05
4 Ni 0.7493 0.5000 0.0000  1.10
5 O 0.7451 0.2377 0.7623  0.05
6 O 0.7451 0.7623 0.2377  0.05
7 O 0.7451 0.7623 0.7623  0.05
8 Tm 0.7394 0.5000 0.5000  0.00
9 O 0.2442 0.0000 0.0000  0.04
10 Np 0.7440 0.0000 0.0000  -0.74